{
  "formula": "Ba2HgBr2",
  "functional": "PBE",
  "state": "relaxed",
  "cell": [[-5.017, -1.058, -0.545], [0.353, -3.579, 3.695], [-4.120, 3.283, 7.172]],
  "species": ["Ba", "Ba", "Br", "Br", "Hg"],
  "frac_coords": [[0.626, 0.626, 0.748], [0.374, 0.374, 0.252], [0.750, 0.250, 0.500], [0.250, 0.750, 0.500], [0.000, 0.000, 0.000]],
  "rho_g_cm3": 4.89,
  "crystal_system": "tetragonal",
  "e_form_raw_mev_per_atom": -1300,
  "total_energy_ev_per_cell": -13.99,
  "e_above_lowest_polymorph_ev_per_atom": 0.000
}

{
  "formula": "Th2CuP",
  "functional": "PBE",
  "state": "relaxed",
  "cell": [[3.839, 0.000, 0.000], [1.919, 3.324, 0.000], [1.919, 1.108, 9.160]],
  "species": ["P", "Th", "Th", "Cu"],
  "frac_coords": [[0.500, 0.500, 0.500], [0.896, 0.896, 0.312], [0.104, 0.104, 0.688], [0.000, 0.000, 0.000]],
  "rho_g_cm3": 7.94,
  "crystal_system": "trigonal",
  "formation_energy_ev_per_atom": -0.08,
  "total_energy_ev_per_cell": -24.66
}

{
  "formula": "SrLaHg17",
  "functional": "PBE",
  "state": "relaxed",
  "cell": [[8.097, 0.513, 1.529], [1.360, 7.998, 1.529], [0.570, 0.513, 8.220]],
  "species": ["Hg", "Hg", "Hg", "Hg", "Hg", "Hg", "Hg", "Hg", "Hg", "Hg", "Hg", "Hg", "Hg", "Hg", "Hg", "Hg", "Hg", "Sr", "La"],
  "frac_coords": [[0.348, 0.348, 0.904], [0.306, 0.694, 0.002], [0.694, 0.306, 0.002], [0.117, 0.117, 0.117], [0.592, 0.592, 0.233], [0.002, 0.694, 0.306], [0.934, 0.934, 0.581], [0.904, 0.348, 0.348], [0.306, 0.002, 0.694], [0.233, 0.592, 0.592], [0.002, 0.306, 0.694], [0.348, 0.904, 0.348], [0.581, 0.934, 0.934], [0.934, 0.581, 0.934], [0.592, 0.233, 0.592], [0.694, 0.002, 0.306], [0.947, 0.947, 0.947], [0.642, 0.642, 0.642], [0.322, 0.322, 0.322]],
  "rho_g_cm3": 11.73,
  "crystal_system": "trigonal",
  "formation_energy_ev_per_atom": -0.16,
  "total_energy_ev_per_cell": -14.78
}

{
  "formula": "FeNi6Mo2",
  "functional": "PBE",
  "state": "relaxed",
  "cell": [[0.752, 3.451, -0.584], [-0.237, -0.907, -5.669], [-5.385, -0.329, 2.092]],
  "species": ["Ni", "Ni", "Ni", "Ni", "Ni", "Ni", "Mo", "Mo", "Fe"],
  "frac_coords": [[0.277, 0.167, 0.554], [0.390, 0.832, 0.780], [0.168, 0.499, 0.335], [0.832, 0.501, 0.665], [0.610, 0.168, 0.220], [0.723, 0.833, 0.446], [0.059, 0.820, 0.118], [0.941, 0.180, 0.882], [0.500, 0.500, 0.000]],
  "rho_g_cm3": 9.30,
  "crystal_system": "monoclinic",
  "formation_energy_ev_per_atom": -0.01,
  "total_energy_ev_per_cell": -64.91
}

{
  "formula": "IrSeBr2",
  "functional": "PBE",
  "state": "relaxed",
  "cell": [[-0.798, -2.827, -1.135], [5.468, -0.578, -2.406], [1.448, -1.914, 3.751]],
  "species": ["Br", "Br", "Se", "Ir"],
  "frac_coords": [[0.500, 0.500, 0.000], [0.000, 0.000, 0.000], [0.000, 0.500, 0.500], [0.500, 0.000, 0.500]],
  "rho_g_cm3": 8.50,
  "crystal_system": "orthorhombic",
  "e_form_raw_mev_per_atom": 954,
  "total_energy_ev_per_cell": -11.88,
  "e_above_lowest_polymorph_ev_per_atom": 1.018
}

{
  "formula": "Ac3DyGe2N6",
  "functional": "PBE",
  "state": "relaxed",
  "cell": [[-5.007, 1.264, -3.238], [1.417, -5.787, 1.287], [-3.572, 0.387, 5.674]],
  "species": ["Ac", "Ac", "Ac", "N", "N", "N", "N", "N", "N", "Dy", "Ge", "Ge"],
  "frac_coords": [[0.667, 0.333, 0.365], [0.333, 0.667, 0.635], [0.000, 0.000, 0.000], [0.348, 0.174, 0.706], [0.826, 0.652, 0.706], [0.174, 0.348, 0.294], [0.652, 0.826, 0.294], [0.826, 0.174, 0.706], [0.174, 0.826, 0.294], [0.000, 0.000, 0.500], [0.667, 0.333, 0.825], [0.333, 0.667, 0.175]],
  "rho_g_cm3": 8.24,
  "crystal_system": "trigonal",
  "e_form_raw_mev_per_atom": -806,
  "total_energy_ev_per_cell": -85.78
}

{
  "formula": "CrSeS2",
  "functional": "PBE",
  "state": "relaxed",
  "cell": [[-0.546, -5.357, -2.682], [-1.784, -2.426, 5.208], [-5.534, -2.923, 0.217]],
  "species": ["Se", "Se", "S", "S", "S", "S", "Cr", "Cr"],
  "frac_coords": [[0.000, 0.000, 0.000], [0.750, 0.250, 0.500], [0.875, 0.797, 0.750], [0.547, 0.125, 0.250], [0.375, 0.453, 0.750], [0.203, 0.625, 0.250], [0.250, 0.750, 0.500], [0.500, 0.500, 0.000]],
  "rho_g_cm3": 3.90,
  "crystal_system": "tetragonal",
  "e_form_raw_mev_per_atom": 161,
  "total_energy_ev_per_cell": -41.44
}

{
  "formula": "La8Nd2Sn",
  "functional": "PBE",
  "state": "relaxed",
  "cell": [[6.203, -1.494, -1.134], [-1.933, 9.785, 3.152], [-1.933, 5.671, 8.575]],
  "species": ["Nd", "Nd", "La", "La", "La", "La", "La", "La", "La", "La", "Sn"],
  "frac_coords": [[0.811, 0.690, 0.690], [0.189, 0.310, 0.310], [0.758, 0.507, 0.507], [0.265, 0.914, 0.420], [0.681, 0.108, 0.108], [0.242, 0.493, 0.493], [0.735, 0.086, 0.580], [0.265, 0.420, 0.914], [0.735, 0.580, 0.086], [0.319, 0.892, 0.892], [0.000, 0.000, 0.000]],
  "rho_g_cm3": 6.55,
  "crystal_system": "monoclinic",
  "formation_energy_ev_per_atom": -0.07,
  "total_energy_ev_per_cell": -53.72,
  "e_above_lowest_polymorph_ev_per_atom": 0.068
}